Hg2TeOs | SCAN | single point on PBEsol structure

Summary:
Space group   No. 44
Calculated total energy   -243.6 eV for the cell shown
Uncorrected formation energy   0.475 eV per atom
D(E_F)   0.8243 states/eV/atom

a = 3.0624 Å, b = 4.5956 Å, c = 6.9722 Å
α = 109.24°, β = 102.69°, γ = 90.00°
With the nearest neighbours (Å) after each atom.
Positions (direct):
Os (0.4881, 0.4881, 0.9762)  2 Te 2.61, 6 Hg 2.78-2.86
Hg (0.0118, 0.0118, 0.0236)  4 Os 2.78, 2 Hg 3.06
Hg (0.1770, 0.6770, 0.3541)  2 Os 2.86, 4 Hg 3.06-3.12
Te (0.8231, 0.3231, 0.6461)  2 Os 2.61